# Y2Co

A relaxed structure of Y2Co (PBE, Alexandria via LeMat-Bulk).

The structure belongs to space group Cmc2_1 (No. 36); the cell edges are 3.579, 12.216 and 6.603 Å and the angles 90.00°, 90.00° and 90.00°. The inequivalent atoms are Y at (0.000, 0.015, 0.000), Y at (0.000, 0.278, 0.181) and Co at (0.000, 0.384, 0.783).

The calculation puts the density of states at the Fermi level at 2.5 states/eV/f.u. Its theoretical density is 5.4 g/cm3. For the total moment, the calculation gives 0.0 μB per formula unit. The total energy is -6.80 eV per atom.